LiBi3Ir | PBE | optimized geometry

volume: 160.3 Å³/f.u.
energy relative to the elements: 363 meV/atom
E: -4.12 eV per atom

Structure (CIF):
```
data_LiBi3Ir
_cell_length_a 5.432
_cell_length_b 5.432
_cell_length_c 5.432
_cell_angle_alpha 90.00
_cell_angle_beta 90.00
_cell_angle_gamma 90.00
_space_group_name_H-M_alt 'P m -3 m'
_space_group_IT_number 221
_space_group_name_Hall '-P 4 2 3'
loop_
_atom_site_label
_atom_site_fract_x
_atom_site_fract_y
_atom_site_fract_z
_atom_site_occupancy
Li1 0.000 0.000 0.000 1
Bi1 0.000 0.500 0.500 1
Ir1 0.500 0.500 0.500 1
```